No. 1
PrDy2: relaxed, PBE-GGA.

```
PrDy2
1.0
-1.8494 -1.3618 2.7782
3.0871 -0.5970 1.7624
-1.0539 7.9236 0.8439
Dy Pr
2 1
direct
0.3311 0.3311 0.6623
0.6689 0.6689 0.3377
0.0000 0.0000 0.0000
```

Summary:
polymorph energy (0 for the lowest one): 0.59 kcal/mol of atoms



No. 2
Tb2Ga12Cu: relaxed, PBE-GGA.

```
Tb2Ga12Cu
1.0
6.1362 0.0000 0.0000
0.0000 6.1362 0.0000
0.0000 0.0000 15.1290
Tb Ga Cu
4 24 2
direct
0.5000 0.0000 0.7557
0.5000 0.0000 0.2443
0.0000 0.5000 0.7557
0.0000 0.5000 0.2443
0.7504 0.2504 0.0870
0.1666 0.6666 0.5704
0.6666 0.8334 0.5704
0.0000 0.0000 0.8170
0.0000 0.0000 0.3439
0.5000 0.5000 0.8170
0.5000 0.5000 0.3439
0.2504 0.2496 0.0870
0.7496 0.2496 0.9130
0.3334 0.1666 0.5704
0.2496 0.2504 0.9130
0.2496 0.7496 0.0870
0.3334 0.8334 0.4296
0.6666 0.1666 0.4296
0.2504 0.7504 0.9130
0.8334 0.6666 0.4296
0.0000 0.0000 0.1830
0.8334 0.3334 0.5704
0.0000 0.0000 0.6561
0.7496 0.7504 0.0870
0.1666 0.3334 0.4296
0.7504 0.7496 0.9130
0.5000 0.5000 0.6561
0.5000 0.5000 0.1830
0.0000 0.5000 0.0000
0.5000 0.0000 0.0000
```

Summary:
final energy: -3.624 eV per atom



No. 3
PmLuCoAu: relaxed, PBE-GGA.

```
PmLuCoAu
1.0
4.9544 0.0000 0.0000
2.4772 4.2906 0.0000
2.4772 1.4302 4.0452
Lu Pm Au Co
1 1 1 1
direct
0.5000 0.5000 0.5000
0.0000 0.0000 0.0000
0.2500 0.2500 0.2500
0.7500 0.7500 0.7500
```

Summary:
final energy: -5.317 eV per atom



No. 4
SrCoSn2Hg: relaxed, PBE-GGA.

```
SrCoSn2Hg
1.0
-3.6727 2.5458 -1.9919
-2.1858 -4.1771 -1.3085
-2.7898 -0.1082 5.0055
Co Hg Sn Sr
1 1 2 1
direct
0.0000 0.0000 0.0000
0.5000 0.5000 0.5000
0.0000 0.5000 0.0000
0.5000 0.0000 0.0000
0.0000 0.0000 0.5000
```

Summary:
polymorph energy (0 for the lowest one): 0.09 kcal/mol of atoms